# 1
10
Lattice="-2.6643 -4.8409 2.0947 4.5535 -3.6582 -2.6626 7.3482 -1.2251 6.5151" Properties=species:S:1:pos:R:3 comment="AcLaY2Ho | Alexandria | PBE-GGA | relaxed" delta_e_f_ev_per_atom=0.041 sg="No. 11" pbc="T T T"
Ac 2.0481 -5.9636 1.3261
Ac 7.1893 -3.7606 4.6211
La 4.0446 -5.6895 4.4991
La 5.1928 -4.0347 1.4481
Y 7.3977 -7.4426 4.7124
Y 1.8397 -2.2816 1.2348
Y 3.8777 -2.0615 4.3357
Y 5.3596 -7.6627 1.6115
Ho 10.4766 -5.4922 4.8005
Ho -1.2392 -4.2320 1.1467

# 2
5
Lattice="4.7662 0.0000 0.0000 0.0000 4.7662 0.0000 0.0000 0.0000 4.6194" Properties=species:S:1:pos:R:3 comment="MgP2RhCl | Alexandria | PBE-GGA | relaxed" e_above_lowest_polymorph_mev_per_atom=729 raw_formation_energy_ev_per_fu=4.4 sg="No. 123" pbc="T T T"
P 0.0000 2.3831 0.0000
P 2.3831 0.0000 0.0000
Mg 0.0000 0.0000 0.0000
Rh 2.3831 2.3831 2.3097
Cl 0.0000 0.0000 2.3097

# 3
7
Lattice="4.8290 0.0000 0.0000 0.0000 5.7081 -1.9418 0.0000 -0.0569 6.0291" Properties=species:S:1:pos:R:3 comment="Dy4Pd2Rh | Alexandria | PBE-GGA | relaxed" delta_e_f_ev_per_atom=-0.745 sg="No. 65" pbc="T T T"
Dy 0.0000 4.2226 3.0541
Dy 0.0000 1.4286 1.0333
Dy 2.4145 -0.0285 3.0146
Dy 2.4145 2.8541 -0.9709
Pd 0.0000 4.2697 0.0470
Pd 0.0000 1.3815 4.0403
Rh 2.4145 2.8256 2.0437

# 4
10
Lattice="-5.2660 3.8878 2.5608 -1.6506 -5.1744 4.4615 2.4983 1.5733 2.7490" Properties=species:S:1:pos:R:3 comment="Ag2Au2Se | Alexandria | PBE-GGA | relaxed" e_above_lowest_polymorph_mev_per_atom=0 raw_formation_energy_ev_per_fu=0.5 sg="No. 127" pbc="T T T"
Au -3.2909 -3.0458 4.7340
Au -5.5724 -0.0001 5.0644
Au -3.6258 1.7593 2.2883
Au -1.3442 -1.2865 1.9579
Se 0.0000 0.0000 0.0000
Se -3.4583 -0.6433 3.5112
Ag -0.6391 -1.9982 4.6845
Ag -3.5901 -1.0511 6.8243
Ag -3.7792 2.2850 5.0868
Ag -0.8282 1.3379 2.9470

# 5
8
Lattice="-2.7868 3.1768 4.4047 1.7969 -4.1325 4.1174 4.6451 2.7080 5.2153" Properties=species:S:1:pos:R:3 comment="TaGe2Cl | Alexandria | PBE-GGA | relaxed" e_above_lowest_polymorph_mev_per_atom=20 raw_formation_energy_ev_per_fu=2.8 sg="No. 122" pbc="T T T"
Ge -0.4604 2.2651 4.7367
Ge 2.0405 -1.6279 4.2626
Ge 3.0452 1.8277 6.9528
Ge 2.6851 1.0398 11.5228
Cl -0.4949 -0.4778 4.2610
Cl 2.9735 -0.9512 6.7969
Ta 0.0000 0.0000 0.0000
Ta 0.6817 2.7035 6.9405

# 6
5
Lattice="3.7650 0.0000 0.0000 0.0000 3.7650 0.0000 1.8825 1.8825 6.5218" Properties=species:S:1:pos:R:3 comment="ScAg2Rh2 | Alexandria | PBE-GGA | relaxed" e_above_lowest_polymorph_mev_per_atom=100 delta_e_f_ev_per_atom=0.015 sg="No. 139" pbc="T T T"
Sc 0.0000 0.0000 0.0000
Rh 1.8825 1.8825 1.2275
Rh 3.7650 3.7650 5.2944
Ag 3.7650 1.8825 3.2609
Ag 1.8825 3.7650 3.2609

# 7
12
Lattice="3.4344 0.0000 0.0000 0.0000 5.6732 -1.3854 0.0000 0.0254 5.8398" Properties=species:S:1:pos:R:3 comment="HfB4Ru | Alexandria | PBE-GGA | relaxed" delta_e_f_ev_per_atom=-0.583 sg="No. 65" pbc="T T T"
Hf 0.0000 1.7141 3.6794
Hf 0.0000 3.9844 0.7750
B 1.7172 5.3438 2.3013
B 1.7172 0.3548 2.1531
B 1.7172 3.5234 4.6300
B 1.7172 2.1751 -0.1756
B 1.7172 2.1803 1.7043
B 1.7172 3.5182 2.7501
B 1.7172 0.5585 5.1578
B 1.7172 5.1400 -0.7033
Ru 0.0000 4.6085 3.6024
Ru 0.0000 1.0900 0.8521

# 8
12
Lattice="3.7145 0.0000 0.0000 0.0000 8.3315 0.3893 0.0000 -1.8008 8.5799" Properties=species:S:1:pos:R:3 comment="NaCuAsS3 | Alexandria | PBE-GGA | relaxed" raw_formation_energy_ev_per_fu=-2.3 sg="No. 11" pbc="T T T"
Na 0.9286 0.9933 1.8565
Na 2.7859 5.5374 7.1126
Cu 0.9286 -0.2804 5.1067
Cu 2.7859 6.8111 3.8625
As 0.9286 5.2015 1.3536
As 2.7859 1.3292 7.6155
S 2.7859 6.8918 1.5202
S 0.9286 -0.3610 7.4489
S 0.9286 5.8684 4.7604
S 2.7859 0.6624 4.2087
S 2.7859 3.1740 1.2992
S 0.9286 3.3568 7.6700

# 9
14
Lattice="-2.9864 -6.2598 2.3195 3.7973 -6.2365 -0.4126 4.4789 -2.2953 11.1015" Properties=species:S:1:pos:R:3 comment="Sm3AsI3 | Alexandria | PBE-GGA | relaxed" raw_formation_energy_ev_per_fu=-9.2 sg="No. 148" pbc="T T T"
Sm -1.1280 -8.1068 3.6168
Sm 2.3959 -10.1281 2.5609
Sm 2.0866 -5.9876 1.9454
Sm 3.2031 -8.8039 11.0630
Sm 2.8939 -4.6634 10.4475
Sm 6.4177 -6.6847 9.3916
As 0.5406 -8.3308 1.2714
As 4.7491 -6.4607 11.7370
I 4.1381 -7.7276 3.6809
I 0.6082 -5.6587 4.7307
I 0.8819 -9.8259 5.3653
I 4.4079 -4.9656 7.6431
I 4.6816 -9.1328 8.2777
I 1.1516 -7.0639 9.3274

# 10
4
Lattice="-1.8882 -0.1456 4.7064 2.9872 -1.2882 3.8928 1.3877 3.5008 3.3993" Properties=species:S:1:pos:R:3 comment="CeHfZnIn | Alexandria | PBE-GGA | relaxed" delta_e_f_ev_per_atom=-0.099 sg="No. 216" pbc="T T T"
Zn 0.0000 0.0000 0.0000
Hf 0.6217 0.5167 2.9996
Ce 1.8650 1.5502 8.9989
In 1.2433 1.0335 5.9993

# 11
5
Lattice="5.3670 0.0000 0.0000 0.0000 4.8088 0.0000 0.0000 0.0000 5.3670" Properties=species:S:1:pos:R:3 comment="BeIn2SiGe | Alexandria | PBE-GGA | relaxed" raw_formation_energy_ev_per_fu=5.3 sg="No. 123" pbc="T T T"
Be 2.6835 2.4044 2.6835
Ge 0.0000 0.0000 0.0000
Si 0.0000 2.4044 0.0000
In 0.0000 0.0000 2.6835
In 2.6835 0.0000 0.0000

# 12
5
Lattice="-0.0555 -4.0106 -3.0854 4.2107 -1.7478 2.1962 -2.8062 -2.5433 3.3563" Properties=species:S:1:pos:R:3 comment="HfZrAu3 | Alexandria | PBE-GGA | relaxed" e_above_lowest_polymorph_mev_per_atom=0 delta_e_f_ev_per_atom=0.627 sg="No. 221" pbc="T T T"
Hf 0.0000 0.0000 0.0000
Au 2.1053 -0.8739 1.0981
Au -1.4031 -1.2716 1.6781
Au -0.0277 -2.0053 -1.5427
Zr 0.6745 -4.1508 1.2335